# 1
A relaxed structure of Ho4SiS2, computed with PBE.

Cell and atoms, written as extended XYZ:
```
14
Lattice="-2.958 1.167 2.329 1.845 -6.007 2.017 8.594 5.397 8.213" Properties=species:S:1:pos:R:3 pbc="T T T"
Ho 1.960 -0.362 6.006
Ho -0.219 -1.730 3.924
Ho 7.700 2.286 8.635
Ho 5.294 -0.214 10.166
Ho 2.188 0.770 2.393
Ho -1.479 0.583 1.164
Ho 2.818 3.282 5.271
Ho 5.521 0.918 6.553
S 6.854 1.705 11.186
S 0.627 -1.149 1.373
S 3.612 -0.331 8.088
S 3.869 0.887 4.471
Si 5.047 3.449 8.017
Si 2.435 -2.892 4.541
```

Results
- Uncorrected formation energy: -928.0 kJ/mol of formula units
- Space-group type: Cmcm (63)
- N(E_F): 0.607 states/eV/atom
- M_tot: 0.00 μB per cell

# 2
A relaxed structure of SmHoSiS, computed with PBE.

Cell and atoms, written as extended XYZ:
```
4
Lattice="4.051 0.000 0.000 2.025 3.508 0.000 2.025 1.169 6.710" Properties=species:S:1:pos:R:3 pbc="T T T"
Si 6.076 3.508 1.171
S 4.051 2.339 4.427
Sm 6.076 3.508 6.168
Ho 2.025 1.169 2.801
```

Results
- Uncorrected formation energy: -524.5 kJ/mol of formula units
- Space-group type: R3m (160)
- N(E_F): 0.398 states/eV/atom
- M_tot: 0.00 μB per cell

# 3
A relaxed structure of Ho6Si2SnS3, computed with PBE.

Cell and atoms, written as extended XYZ:
```
12
Lattice="-0.188 -3.875 1.045 5.683 -1.795 -5.633 4.780 3.688 6.809" Properties=species:S:1:pos:R:3 pbc="T T T"
Si 3.437 -0.016 0.558
Si 6.838 -1.965 1.662
Ho 6.116 -0.669 6.340
Ho 8.232 -0.487 -0.330
Ho 2.043 -1.494 2.550
Ho 5.486 0.403 2.478
Ho 4.789 -2.384 -0.257
Ho 4.159 -1.313 -4.119
Sn -0.094 -1.937 0.523
S 6.284 -0.908 -2.238
S 3.991 -1.073 4.458
S 2.748 -2.835 -2.294
```

Results
- Uncorrected formation energy: -1529.0 kJ/mol of formula units
- Space-group type: C2/m (12)
- N(E_F): 0.326 states/eV/atom
- M_tot: 0.00 μB per cell

# 4
A relaxed structure of TbHoSiS, computed with PBE.

Cell and atoms, written as extended XYZ:
```
4
Lattice="4.010 0.000 0.000 2.005 3.473 0.000 2.005 1.158 6.650" Properties=species:S:1:pos:R:3 pbc="T T T"
Tb 6.016 3.473 6.112
Si 6.016 3.473 1.131
Ho 2.005 1.158 2.770
S 4.010 2.315 4.422
```

Results
- Uncorrected formation energy: -528.3 kJ/mol of formula units
- Space-group type: R3m (160)
- N(E_F): 0.396 states/eV/atom
- M_tot: 0.00 μB per cell

# 5
A relaxed structure of Ho8SiTe3S3, computed with PBE.

Cell and atoms, written as extended XYZ:
```
15
Lattice="8.059 0.000 0.000 -4.029 6.979 -0.026 0.000 -4.629 6.941" Properties=species:S:1:pos:R:3 pbc="T T T"
Ho 6.011 -1.137 1.978
Ho 1.982 3.487 4.937
Ho 0.000 0.057 4.951
Ho 0.000 2.333 2.055
Ho 4.029 2.293 1.964
Ho 4.029 0.017 4.860
Ho 2.048 -1.137 1.978
Ho -1.982 3.487 4.937
Te -2.015 3.490 -0.013
Te 0.000 0.000 0.000
Te 2.015 3.490 -0.013
Si 0.000 -2.315 3.471
S 2.015 1.175 3.458
S 4.029 -2.315 3.471
S -2.015 1.175 3.458
```

Results
- Uncorrected formation energy: -2038.8 kJ/mol of formula units
- Space-group type: R-3m (166)
- N(E_F): 0.378 states/eV/atom
- M_tot: 0.00 μB per cell

# 6
A relaxed structure of Ho8Si3Te4S, computed with PBE.

Cell and atoms, written as extended XYZ:
```
16
Lattice="8.331 0.000 0.000 0.000 8.514 0.122 -4.166 -4.162 5.894" Properties=species:S:1:pos:R:3 pbc="T T T"
Ho 6.223 2.317 0.181
Ho -2.057 2.036 5.835
Ho 2.108 2.317 0.181
Ho 4.166 0.260 3.088
Ho 0.000 4.093 2.928
Ho 2.057 2.036 5.835
Ho 0.000 0.225 3.102
Ho 4.166 4.127 2.914
Si 2.083 2.176 3.008
Si 4.166 4.257 0.061
Si -2.083 2.176 3.008
Te 2.083 -2.081 2.947
Te -2.083 -2.081 2.947
Te 4.166 0.000 0.000
Te 0.000 0.000 0.000
S 0.000 4.257 0.061
```

Results
- Uncorrected formation energy: -1939.1 kJ/mol of formula units
- Space-group type: R-3m (166)
- N(E_F): 0.255 states/eV/atom
- M_tot: 0.00 μB per cell

- Look up the uncorrected formation energy of the second one.
  -524.5 kJ/mol of formula units